Entry 1:
## YZr2Be (PBEsol)

Data for a geometry-optimized YZr2Be structure.

It has space group P4mm (No. 99), with a = 3.230 Å, b = 3.230 Å, c = 7.930 Å, α = 90.00°, β = 90.00° and γ = 90.00°. The asymmetric unit holds Y at (0.000, 0.000, 0.000), Zr at (0.000, 0.000, 0.586), Zr at (0.500, 0.500, 0.320) and Be at (0.500, 0.500, 0.770).

Entry 2:
## Y2ZrBe (PBEsol)

Data for a geometry-optimized Y2ZrBe structure.

It has space group I-4m2 (No. 119), with a = 4.381 Å, b = 4.381 Å, c = 9.208 Å, α = 90.00°, β = 90.00° and γ = 90.00°. The asymmetric unit holds Y at (0.000, 0.000, 0.000), Y at (0.000, 0.500, 0.250), Zr at (0.000, 0.000, 0.500) and Be at (0.000, 0.500, 0.750).

Entry 3:
## Y2ZrBe (PBEsol)

Data for a geometry-optimized Y2ZrBe structure.

It has space group P4/mmm (No. 123), with a = 4.483 Å, b = 4.483 Å, c = 4.416 Å, α = 90.00°, β = 90.00° and γ = 90.00°. The asymmetric unit holds Y at (0.000, 0.500, 0.000), Zr at (0.000, 0.000, 0.500) and Be at (0.500, 0.500, 0.500).

Entry 4:
## YZr2Be (PBEsol)

Data for a geometry-optimized YZr2Be structure.

It has space group Immm (No. 71), with a = 3.291 Å, b = 4.875 Å, c = 10.361 Å, α = 90.00°, β = 90.00° and γ = 90.00°. The asymmetric unit holds Y at (0.000, 0.000, 0.000), Zr at (0.000, 0.500, 0.208) and Be at (0.000, 0.000, 0.500).

Entry 5:
## BeZn5 (PBEsol)

Data for a geometry-optimized BeZn5 structure.

The energy above the most stable polymorph in this dataset comes out at 4 meV/atom.

It has space group Amm2 (No. 38), with a = 4.289 Å, b = 2.643 Å, c = 13.715 Å, α = 90.00°, β = 90.00° and γ = 90.00°. The asymmetric unit holds Be at (0.000, 0.000, 0.000), Zn at (0.000, 0.000, 0.339), Zn at (0.000, 0.000, 0.659), Zn at (0.500, 0.000, 0.223), Zn at (0.500, 0.000, 0.552) and Zn at (0.500, 0.000, 0.892).

Entry 6:
## BeZn3 (PBEsol)

Data for a geometry-optimized BeZn3 structure.

It has space group P4/mmm (No. 123), with a = 2.622 Å, b = 2.622 Å, c = 7.303 Å, α = 90.00°, β = 90.00° and γ = 90.00°. The asymmetric unit holds Be at (0.000, 0.000, 0.000), Zn at (0.000, 0.000, 0.500) and Zn at (0.500, 0.500, 0.221).

Total energy values, unit eV per atom, following the record order: -7.195, -6.399, -6.417, -7.209, -1.905, -2.072.